## BaPt2Cl (PBE-GGA)

Data for a relaxed BaPt2Cl crystal.

```
4
Lattice="3.793 0.000 0.000 0.000 3.721 0.003 0.000 1.726 7.870" Properties=species:S:1:pos:R:3 pbc="T T T"
Pt 1.896 2.045 1.377
Cl 1.896 3.900 5.439
Pt 0.000 3.906 1.080
Ba 0.000 2.040 3.917
```

Calculated volume in Å³/atom: 27.76
E_tot in eV per atom: -4.724
SG: Pm
Theoretical density in g/cm³: 8.42
Raw formation energy in eV/atom: -0.7615
Energy above the most stable polymorph in this dataset in eV per atom: 0.000